1.
# Na10Zn4O9

A relaxed Na10Zn4O9 crystal (GGA-PBE, Alexandria via LeMat-Bulk).

Computed properties:
space group = C2, No. 5
formation energy without anion corrections = -31.3 eV per formula unit

Lattice parameters (Å, degrees): 8.7498 8.7498 8.7380 77.47 77.47 77.03
Closest atoms and distances in Å follow each position.
Fractional positions:
Na: 0.9972 0.0028 0.0000  4 O 2.57-2.72
Na: 0.9470 0.6449 0.6343  5 O 2.41-2.69
Na: 0.9187 0.3285 0.7077  3 O 2.28-2.38
Na: 0.8089 0.7482 0.3591  3 O 2.23-2.31
Na: 0.7009 0.2991 0.0000  4 O 2.47-2.50
Na: 0.6090 0.9403 0.6248  4 O 2.30-2.34
Na: 0.6171 0.6301 0.9385  4 O 2.32-2.41
Na: 0.7728 0.2272 0.5000  2 O 2.35
Na: 0.7661 0.4832 0.2267  3 O 2.34-2.52
Na: 0.6715 0.0813 0.2923  3 O 2.28-2.38
Na: 0.5168 0.2339 0.7733  3 O 2.34-2.52
Na: 0.5097 0.7727 0.2278  4 O 2.35-2.55
Na: 0.3464 0.7772 0.7905  3 O 2.28-2.46
Na: 0.2273 0.4903 0.7722  4 O 2.35-2.55
Na: 0.2375 0.7625 0.5000  4 O 2.36-2.50
Na: 0.3699 0.3829 0.0615  4 O 2.32-2.41
Na: 0.3551 0.0530 0.3657  5 O 2.41-2.69
Na: 0.2228 0.6536 0.2095  3 O 2.28-2.46
Na: 0.2518 0.1911 0.6409  3 O 2.23-2.31
Na: 0.0597 0.3910 0.3752  4 O 2.30-2.34
Zn: 0.9640 0.9737 0.6686  4 O 1.98-2.07
Zn: 0.9637 0.6645 0.9706  4 O 1.98-2.08
Zn: 0.6711 0.9689 0.9668  4 O 1.97-2.07
Zn: 0.5897 0.5784 0.5944  3 O 1.92-1.97
Zn: 0.4216 0.4103 0.4056  3 O 1.92-1.97
Zn: 0.3355 0.0363 0.0294  4 O 1.98-2.08
Zn: 0.0311 0.3289 0.0332  4 O 1.97-2.07
Zn: 0.0263 0.0360 0.3314  4 O 1.98-2.07
O: 0.8814 0.4921 0.8958  2 Zn 2.07-2.08
O: 0.8727 0.9120 0.4952  2 Zn 2.04-2.07, 1 Na 2.27
O: 0.8003 0.4904 0.4922  1 Zn 1.93
O: 0.8885 0.2005 0.1942  2 Zn 1.99-2.01
O: 0.7995 0.1115 0.8058  2 Zn 1.99-2.01
O: 0.7924 0.7948 0.1019  2 Zn 1.97-1.98
O: 0.5002 0.8974 0.8909  2 Zn 2.02-2.03
O: 0.4988 0.7949 0.4951  1 Zn 1.97
O: 0.4851 0.4987 0.8044  1 Zn 1.92
O: 0.5013 0.5149 0.1956  1 Zn 1.92
O: 0.5096 0.1997 0.5078  1 Zn 1.93
O: 0.5079 0.1186 0.1042  2 Zn 2.07-2.08
O: 0.2052 0.2076 0.8981  2 Zn 1.97-1.98
O: 0.2214 0.9108 0.2231  2 Zn 1.98-2.00
O: 0.0892 0.7786 0.7769  2 Zn 1.98-2.00
O: 0.2051 0.5012 0.5049  1 Zn 1.97
O: 0.0880 0.1273 0.5048  2 Zn 2.04-2.07, 1 Na 2.27
O: 0.1026 0.4998 0.1091  2 Zn 2.02-2.03

2.
# LiPrNpO6

A relaxed LiPrNpO6 crystal (GGA-PBE, Alexandria via LeMat-Bulk).

Computed properties:
space group = P-31c, No. 163
formation energy without anion corrections = -22.3 eV per formula unit

Lattice parameters (Å, degrees): 5.3650 5.3650 10.3705 90.00 90.00 120.00
Closest atoms and distances in Å follow each position.
Fractional positions:
Li: 0.3333 0.6667 0.2500  6 O 2.14
Li: 0.6667 0.3333 0.7500  6 O 2.14
Pr: 0.0000 0.0000 0.0000  6 O 2.41
Pr: 0.0000 0.0000 0.5000  6 O 2.41
Np: 0.6667 0.3333 0.2500  6 O 2.00
Np: 0.3333 0.6667 0.7500  6 O 2.00
O: 0.6523 0.6324 0.1408  1 Np 2.00, 1 Li 2.14
O: 0.9801 0.3477 0.1408  1 Np 2.00, 1 Li 2.14
O: 0.3477 0.9801 0.6408  1 Np 2.00, 1 Li 2.14
O: 0.0199 0.6523 0.8592  1 Np 2.00, 1 Li 2.14
O: 0.3676 0.3477 0.3592  1 Np 2.00, 1 Li 2.14
O: 0.9801 0.6324 0.3592  1 Np 2.00, 1 Li 2.14
O: 0.6324 0.9801 0.8592  1 Np 2.00, 1 Li 2.14
O: 0.6523 0.0199 0.3592  1 Np 2.00, 1 Li 2.14
O: 0.0199 0.3676 0.6408  1 Np 2.00, 1 Li 2.14
O: 0.3676 0.0199 0.1408  1 Np 2.00, 1 Li 2.14
O: 0.6324 0.6523 0.6408  1 Np 2.00, 1 Li 2.14
O: 0.3477 0.3676 0.8592  1 Np 2.00, 1 Li 2.14

3.
# Y2AsP

A relaxed Y2AsP crystal (GGA-PBE, Alexandria via LeMat-Bulk).

Computed properties:
space group = Immm, No. 71
formation energy from the elements = -4.56 eV/f.u.

Lattice parameters (Å, degrees): 5.1617 5.1617 5.1617 130.64 112.51 88.04
Closest atoms and distances in Å follow each position.
Fractional positions:
As: 0.7500 0.2500 0.5000  4 Y 2.87
P: 0.2500 0.7500 0.5000  4 Y 2.82
Y: 0.0057 0.0057 0.0000  2 P 2.82, 2 As 2.87
Y: 0.4943 0.4943 0.0000  2 P 2.82, 2 As 2.87

4.
# Rb4TmI6

A relaxed Rb4TmI6 crystal (GGA-PBE, Alexandria via LeMat-Bulk).

Computed properties:
space group = R-3c, No. 167
formation energy without anion corrections = -14.7 eV per formula unit

Lattice parameters (Å, degrees): 10.1650 10.1650 10.1650 89.80 89.80 89.80
Closest atoms and distances in Å follow each position.
Fractional positions:
Rb: 0.8700 0.2500 0.6300  8 I 3.79-4.00
Rb: 0.3700 0.1300 0.7500  8 I 3.79-4.00
Rb: 0.7500 0.3700 0.1300  8 I 3.79-4.00
Rb: 0.1300 0.7500 0.3700  8 I 3.79-4.00
Rb: 0.2500 0.2500 0.2500  6 I 3.66
Rb: 0.6300 0.8700 0.2500  8 I 3.79-4.00
Rb: 0.2500 0.6300 0.8700  8 I 3.79-4.00
Rb: 0.7500 0.7500 0.7500  6 I 3.66
Tm: 0.5000 0.5000 0.5000  6 I 3.08
Tm: 0.0000 0.0000 0.0000  6 I 3.08
I: 0.7103 0.0571 0.9325  1 Tm 3.08
I: 0.2897 0.9429 0.0675  1 Tm 3.08
I: 0.5675 0.4429 0.7897  1 Tm 3.08
I: 0.0675 0.2897 0.9429  1 Tm 3.08
I: 0.2103 0.4325 0.5571  1 Tm 3.08
I: 0.7897 0.5675 0.4429  1 Tm 3.08
I: 0.0571 0.9325 0.7103  1 Tm 3.08
I: 0.4325 0.5571 0.2103  1 Tm 3.08
I: 0.5571 0.2103 0.4325  1 Tm 3.08
I: 0.4429 0.7897 0.5675  1 Tm 3.08
I: 0.9325 0.7103 0.0571  1 Tm 3.08
I: 0.9429 0.0675 0.2897  1 Tm 3.08

5.
# AcTm4In4

A relaxed AcTm4In4 crystal (GGA-PBE, Alexandria via LeMat-Bulk).

Computed properties:
space group = P4_2/nmc, No. 137
formation energy from the elements = -2.11 eV/f.u.

Lattice parameters (Å, degrees): 7.3660 7.3660 10.3660 90.00 90.00 90.00
Closest atoms and distances in Å follow each position.
Fractional positions:
Ac: 0.0000 0.0000 0.0000  4 In 3.85, 8 Tm 4.23
Ac: 0.5000 0.5000 0.5000  4 In 3.85, 8 Tm 4.23
Tm: 0.2424 0.5000 0.8988  5 In 3.07-3.13, 2 Tm 3.41
Tm: 0.7576 0.5000 0.8988  5 In 3.07-3.13, 2 Tm 3.41
Tm: 0.5000 0.7576 0.1012  5 In 3.07-3.13, 2 Tm 3.41
Tm: 0.5000 0.2424 0.1012  5 In 3.07-3.13, 2 Tm 3.41
Tm: 0.0000 0.7424 0.3988  5 In 3.07-3.13, 2 Tm 3.41
Tm: 0.0000 0.2576 0.3988  5 In 3.07-3.13, 2 Tm 3.41
Tm: 0.2576 0.0000 0.6012  5 In 3.07-3.13, 2 Tm 3.41
Tm: 0.7424 0.0000 0.6012  5 In 3.07-3.13, 2 Tm 3.41
In: 0.5000 0.7997 0.8046  1 In 2.95, 5 Tm 3.07-3.13
In: 0.5000 0.2003 0.8046  1 In 2.95, 5 Tm 3.07-3.13
In: 0.7997 0.5000 0.1954  1 In 2.95, 5 Tm 3.07-3.13
In: 0.2003 0.5000 0.1954  1 In 2.95, 5 Tm 3.07-3.13
In: 0.2997 0.0000 0.3046  1 In 2.95, 5 Tm 3.07-3.13
In: 0.7003 0.0000 0.3046  1 In 2.95, 5 Tm 3.07-3.13
In: 0.0000 0.2997 0.6954  1 In 2.95, 5 Tm 3.07-3.13
In: 0.0000 0.7003 0.6954  1 In 2.95, 5 Tm 3.07-3.13

6.
# SiSb2Se

A relaxed SiSb2Se crystal (GGA-PBE, Alexandria via LeMat-Bulk).

Computed properties:
space group = P4mm, No. 99
energy above the most stable polymorph in this dataset = 189.8 meV per atom
formation energy without anion corrections = 1.1 eV per formula unit

Lattice parameters (Å, degrees): 3.3738 3.3738 8.5498 90.00 90.00 90.00
Closest atoms and distances in Å follow each position.
Fractional positions:
Sb: 0.0000 0.0000 0.9782  8 Sb 3.21-3.37, 4 Si 3.31, 1 Se 3.38
Sb: 0.5000 0.5000 0.2294  8 Sb 3.21-3.37
Se: 0.0000 0.0000 0.5829  4 Si 2.62
Si: 0.5000 0.5000 0.7095  4 Se 2.62

7.
# GaTeSe

A relaxed GaTeSe crystal (GGA-PBE, Alexandria via LeMat-Bulk).

Computed properties:
space group = P4_2/m, No. 84
energy above the most stable polymorph in this dataset = 148.4 meV per atom
formation energy without anion corrections = -0.6 eV per formula unit

Lattice parameters (Å, degrees): 3.8260 9.4131 9.4131 90.00 90.00 90.00
Closest atoms and distances in Å follow each position.
Fractional positions:
Ga: 0.5000 0.6480 0.2488  3 Se 2.49-2.54
Ga: 0.5000 0.3520 0.7512  3 Se 2.49-2.54
Ga: 0.0000 0.2488 0.3520  3 Se 2.49-2.54
Ga: 0.0000 0.7512 0.6480  3 Se 2.49-2.54
Te: 0.5000 0.1093 0.1713  2 Ga 2.88
Te: 0.0000 0.8287 0.1093  2 Ga 2.88
Te: 0.0000 0.1713 0.8907  2 Ga 2.88
Te: 0.5000 0.8907 0.8287  2 Ga 2.88
Se: 0.5000 0.7866 0.4735  3 Ga 2.49-2.54
Se: 0.0000 0.5265 0.7866  3 Ga 2.49-2.54
Se: 0.0000 0.4735 0.2134  3 Ga 2.49-2.54
Se: 0.5000 0.2134 0.5265  3 Ga 2.49-2.54

8.
# LaDyHgGe

A relaxed LaDyHgGe crystal (GGA-PBE, Alexandria via LeMat-Bulk).

Computed properties:
space group = F-43m, No. 216
formation energy from the elements = -2.29 eV/f.u.

Lattice parameters (Å, degrees): 5.2881 5.2881 5.2881 60.00 60.00 60.00
Closest atoms and distances in Å follow each position.
Fractional positions:
Ge: 0.2500 0.2500 0.2500  4 La 3.24, 4 Dy 3.24
La: 0.5000 0.5000 0.5000  4 Ge 3.24, 4 Hg 3.24
Hg: 0.7500 0.7500 0.7500  4 Dy 3.24, 4 La 3.24
Dy: 0.0000 0.0000 0.0000  4 Hg 3.24, 4 Ge 3.24

9.
# ScCoSb2

A relaxed ScCoSb2 crystal (GGA-PBE, Alexandria via LeMat-Bulk).

Computed properties:
space group = I-4m2, No. 119
formation energy without anion corrections = -0.6 eV per formula unit

Lattice parameters (Å, degrees): 5.6656 5.6656 5.6656 138.39 138.39 60.31
Closest atoms and distances in Å follow each position.
Fractional positions:
Co: 0.7500 0.2500 0.5000  8 Sb 2.85-3.17, 4 Sc 3.17
Sb: 0.0000 0.0000 0.0000  4 Sc 2.85, 4 Co 3.17, 4 Sb 3.17
Sb: 0.2500 0.7500 0.5000  4 Co 2.85, 4 Sb 3.17, 4 Sc 3.17
Sc: 0.5000 0.5000 0.0000  8 Sb 2.85-3.17, 4 Co 3.17

Number 1: total magnetization 0.0 μB per formula unit, E_tot -4.09 eV/atom. Number 2: total magnetization 0.9 μB per formula unit, E_tot -7.97 eV/atom. Number 3: total magnetization 0.0 μB per formula unit, E_tot -6.89 eV/atom. Number 4: total magnetization 0.9 μB per formula unit, E_tot -2.94 eV/atom. Number 5: total magnetization 0.0 μB per formula unit, E_tot -3.90 eV/atom. Number 6: total magnetization 0.0 μB per formula unit, E_tot -4.02 eV/atom. Number 7: total magnetization 0.0 μB per formula unit, E_tot -3.40 eV/atom. Number 8: total magnetization 0.0 μB per formula unit, E_tot -4.18 eV/atom. Number 9: total magnetization 0.9 μB per formula unit, E_tot -5.58 eV/atom.